Computed, not measured: ErMgCdIr after structural relaxation at the GGA-PBE level of DFT. Values from VASP.

- Calculated density: 10.4 Mg/m³
- Total magnetic moment: 0.00 μB per cell
- ΔH_f (0 K): -1.6 eV per formula unit
- Space-group type: No. 216

```
&SYSTEM
  ibrav = 0, nat = 4, ntyp = 4
/
ATOMIC_SPECIES
Er 167.26 Er.upf
Mg 24.30 Mg.upf
Cd 112.41 Cd.upf
Ir 192.22 Ir.upf
CELL_PARAMETERS angstrom
0.000 3.413 3.413
3.413 0.000 3.413
3.413 3.413 0.000
ATOMIC_POSITIONS crystal
Er 0.000 0.000 0.000
Mg 0.500 0.500 0.500
Cd 0.250 0.250 0.250
Ir 0.750 0.750 0.750
```


Computed, not measured: MnC3 after structural relaxation at the GGA-PBE level of DFT. Values from VASP.

- Energy relative to the lowest polymorph listed for this composition: 1522.0 meV per atom
- Calculated density: 5.4 Mg/m³
- Total magnetic moment: 0.00 μB per cell
- ΔH_f (0 K): 8.9 eV per formula unit
- Space-group type: No. 223

```
&SYSTEM
  ibrav = 0, nat = 8, ntyp = 2
/
ATOMIC_SPECIES
Mn 54.94 Mn.upf
C 12.01 C.upf
CELL_PARAMETERS angstrom
3.826 0.000 0.000
0.000 3.826 0.000
0.000 0.000 3.826
ATOMIC_POSITIONS crystal
Mn 0.000 0.000 0.000
Mn 0.500 0.500 0.500
C 0.000 0.250 0.500
C 0.000 0.750 0.500
C 0.250 0.500 0.000
C 0.500 0.000 0.250
C 0.500 0.000 0.750
C 0.750 0.500 0.000
```


Computed, not measured: La3HfFe after structural relaxation at the GGA-PBE level of DFT. Values from VASP.

- Energy relative to the lowest polymorph listed for this composition: 645.0 meV per atom
- Calculated density: 5.7 Mg/m³
- Total magnetic moment: 2.77 μB per cell
- ΔH_f (0 K): 5.2 eV per formula unit
- Space-group type: No. 221

```
&SYSTEM
  ibrav = 0, nat = 5, ntyp = 3
/
ATOMIC_SPECIES
La 138.91 La.upf
Hf 178.49 Hf.upf
Fe 55.84 Fe.upf
CELL_PARAMETERS angstrom
5.730 0.000 0.000
0.000 5.730 0.000
0.000 0.000 5.730
ATOMIC_POSITIONS crystal
La 0.000 0.000 0.500
La 0.000 0.500 0.000
La 0.500 0.000 0.000
Hf 0.000 0.000 0.000
Fe 0.500 0.500 0.500
```


Computed, not measured: Pr3Sm4HoTe8 after structural relaxation at the GGA-PBE level of DFT. Values from VASP.

- Calculated density: 7.3 Mg/m³
- E_form (uncorrected): -2130 kJ/mol of formula units
- Total magnetic moment: 0.00 μB per cell
- Space-group type: No. 12

```
&SYSTEM
  ibrav = 0, nat = 16, ntyp = 4
/
ATOMIC_SPECIES
Pr 140.91 Pr.upf
Sm 150.36 Sm.upf
Ho 164.93 Ho.upf
Te 127.60 Te.upf
CELL_PARAMETERS angstrom
7.718 -4.476 0.000
7.718 4.476 0.000
-5.122 0.000 7.292
ATOMIC_POSITIONS crystal
Pr 0.000 0.000 0.000
Pr 0.000 0.500 0.500
Pr 0.500 0.000 0.500
Sm 0.000 0.000 0.500
Sm 0.000 0.500 0.000
Sm 0.500 0.000 0.000
Sm 0.500 0.500 0.500
Ho 0.500 0.500 0.000
Te 0.252 0.252 0.248
Te 0.253 0.253 0.758
Te 0.253 0.742 0.247
Te 0.258 0.747 0.753
Te 0.742 0.253 0.247
Te 0.747 0.258 0.753
Te 0.747 0.747 0.242
Te 0.748 0.748 0.752
```


Computed, not measured: TbSm5Ho4 after structural relaxation at the GGA-PBE level of DFT. Values from VASP.

- Energy relative to the lowest polymorph listed for this composition: 277.3 meV per atom
- Calculated density: 7.9 Mg/m³
- Total magnetic moment: 0.00 μB per cell
- ΔH_f (0 K): 2.9 eV per formula unit
- Space-group type: No. 79

```
&SYSTEM
  ibrav = 0, nat = 10, ntyp = 3
/
ATOMIC_SPECIES
Tb 158.93 Tb.upf
Sm 150.36 Sm.upf
Ho 164.93 Ho.upf
CELL_PARAMETERS angstrom
-5.121 5.121 3.145
5.121 -5.121 3.145
5.121 5.121 -3.145
ATOMIC_POSITIONS crystal
Tb 0.000 0.000 0.000
Sm 0.458 0.458 0.000
Sm 0.498 0.878 0.918
Sm 0.580 0.498 0.620
Sm 0.878 0.960 0.380
Sm 0.960 0.580 0.082
Ho 0.181 0.881 0.609
Ho 0.272 0.572 0.391
Ho 0.572 0.181 0.300
Ho 0.881 0.272 0.700
```


Computed, not measured: Zn4GaCu3 after structural relaxation at the GGA-PBE level of DFT. Values from VASP.

- Energy relative to the lowest polymorph listed for this composition: 0.0 meV per atom
- Calculated density: 7.9 Mg/m³
- Total magnetic moment: 0.00 μB per cell
- ΔH_f (0 K): -0.4 eV per formula unit
- Space-group type: No. 51

```
&SYSTEM
  ibrav = 0, nat = 16, ntyp = 3
/
ATOMIC_SPECIES
Zn 65.41 Zn.upf
Ga 69.72 Ga.upf
Cu 63.55 Cu.upf
CELL_PARAMETERS angstrom
8.572 0.000 0.000
0.000 5.573 0.000
0.000 0.000 4.584
ATOMIC_POSITIONS crystal
Zn 0.000 0.242 0.000
Zn 0.000 0.758 0.000
Zn 0.250 0.240 0.347
Zn 0.250 0.760 0.347
Zn 0.500 0.242 0.000
Zn 0.500 0.758 0.000
Zn 0.750 0.240 0.653
Zn 0.750 0.760 0.653
Ga 0.000 0.500 0.500
Ga 0.500 0.500 0.500
Cu 0.000 0.000 0.500
Cu 0.250 0.000 0.845
Cu 0.250 0.500 0.839
Cu 0.500 0.000 0.500
Cu 0.750 0.000 0.155
Cu 0.750 0.500 0.161
```


Computed, not measured: Tb8Y2Tm after structural relaxation at the GGA-PBE level of DFT. Values from VASP.

- Energy relative to the lowest polymorph listed for this composition: 0.0 meV per atom
- Calculated density: 7.5 Mg/m³
- Total magnetic moment: 0.00 μB per cell
- ΔH_f (0 K): 1.7 eV per formula unit
- Space-group type: No. 12

```
&SYSTEM
  ibrav = 0, nat = 11, ntyp = 3
/
ATOMIC_SPECIES
Tb 158.93 Tb.upf
Y 88.91 Y.upf
Tm 168.93 Tm.upf
CELL_PARAMETERS angstrom
4.520 -8.202 0.000
4.520 8.202 0.000
-3.404 0.000 4.814
ATOMIC_POSITIONS crystal
Tb 0.098 0.338 0.688
Tb 0.204 0.796 0.000
Tb 0.338 0.098 0.688
Tb 0.435 0.435 0.207
Tb 0.565 0.565 0.793
Tb 0.662 0.902 0.312
Tb 0.796 0.204 0.000
Tb 0.902 0.662 0.312
Y 0.310 0.690 0.500
Y 0.690 0.310 0.500
Tm 0.000 0.000 0.000
```


Computed, not measured: LiUPb2Se6 after structural relaxation at the GGA-PBE level of DFT. Values from VASP.

- Calculated density: 6.8 Mg/m³
- E_form (uncorrected): -679 kJ/mol of formula units
- Total magnetic moment: 0.00 μB per cell
- Space-group type: No. 14

```
&SYSTEM
  ibrav = 0, nat = 20, ntyp = 4
/
ATOMIC_SPECIES
Li 6.94 Li.upf
U 238.03 U.upf
Pb 207.20 Pb.upf
Se 78.96 Se.upf
CELL_PARAMETERS angstrom
7.163 0.000 0.000
0.000 7.651 0.000
-6.314 0.000 10.033
ATOMIC_POSITIONS crystal
Li 0.000 0.000 0.000
Li 0.000 0.500 0.500
U 0.500 0.000 0.500
U 0.500 0.500 0.000
Pb 0.183 0.090 0.714
Pb 0.183 0.410 0.214
Pb 0.817 0.590 0.786
Pb 0.817 0.910 0.286
Se 0.142 0.193 0.449
Se 0.142 0.307 0.949
Se 0.259 0.706 0.434
Se 0.259 0.794 0.934
Se 0.369 0.025 0.244
Se 0.369 0.475 0.744
Se 0.631 0.525 0.256
Se 0.631 0.975 0.756
Se 0.741 0.206 0.066
Se 0.741 0.294 0.566
Se 0.858 0.693 0.051
Se 0.858 0.807 0.551
```


Computed, not measured: Sc2NbCo after structural relaxation at the GGA-PBE level of DFT. Values from VASP.

- Energy relative to the lowest polymorph listed for this composition: 347.8 meV per atom
- Calculated density: 5.4 Mg/m³
- Total magnetic moment: 0.00 μB per cell
- ΔH_f (0 K): 1.0 eV per formula unit
- Space-group type: No. 122

```
&SYSTEM
  ibrav = 0, nat = 8, ntyp = 3
/
ATOMIC_SPECIES
Sc 44.96 Sc.upf
Nb 92.91 Nb.upf
Co 58.93 Co.upf
CELL_PARAMETERS angstrom
-3.675 3.675 2.770
3.675 -3.675 2.770
3.675 3.675 -2.770
ATOMIC_POSITIONS crystal
Sc 0.072 0.125 0.447
Sc 0.375 0.928 0.053
Sc 0.678 0.625 0.553
Sc 0.875 0.322 0.947
Nb 0.250 0.750 0.500
Nb 0.500 0.500 0.000
Co 0.000 0.000 0.000
Co 0.750 0.250 0.500
```


Computed, not measured: Ac2PuMgRh6 after structural relaxation at the GGA-PBE level of DFT. Values from VASP.

- Calculated density: 9.8 Mg/m³
- Total magnetic moment: 3.17 μB per cell
- ΔH_f (0 K): -2.5 eV per formula unit
- Space-group type: No. 166

```
&SYSTEM
  ibrav = 0, nat = 10, ntyp = 4
/
ATOMIC_SPECIES
Ac 227.00 Ac.upf
Pu 244.00 Pu.upf
Mg 24.30 Mg.upf
Rh 102.91 Rh.upf
CELL_PARAMETERS angstrom
2.883 1.664 7.919
-2.883 1.664 7.919
0.000 -3.329 7.919
ATOMIC_POSITIONS crystal
Ac 0.214 0.214 0.214
Ac 0.786 0.786 0.786
Pu 0.000 0.000 0.000
Mg 0.500 0.500 0.500
Rh 0.250 0.250 0.737
Rh 0.250 0.737 0.250
Rh 0.263 0.750 0.750
Rh 0.737 0.250 0.250
Rh 0.750 0.263 0.750
Rh 0.750 0.750 0.263
```


Computed, not measured: LaCuP2 after structural relaxation at the GGA-PBE level of DFT. Values from VASP.

- Calculated density: 5.5 Mg/m³
- Total magnetic moment: 0.00 μB per cell
- ΔH_f (0 K): -3.2 eV per formula unit
- Space-group type: No. 2

```
&SYSTEM
  ibrav = 0, nat = 16, ntyp = 3
/
ATOMIC_SPECIES
La 138.91 La.upf
Cu 63.55 Cu.upf
P 30.97 P.upf
CELL_PARAMETERS angstrom
5.290 0.000 0.000
-0.555 7.425 0.000
-0.004 -0.123 8.132
ATOMIC_POSITIONS crystal
La 0.194 0.280 0.068
La 0.302 0.721 0.554
La 0.698 0.279 0.446
La 0.806 0.720 0.932
Cu 0.148 0.109 0.710
Cu 0.349 0.876 0.200
Cu 0.651 0.124 0.800
Cu 0.852 0.891 0.290
P 0.062 0.415 0.745
P 0.173 0.073 0.415
P 0.332 0.925 0.911
P 0.490 0.418 0.759
P 0.510 0.582 0.241
P 0.668 0.075 0.089
P 0.827 0.927 0.585
P 0.938 0.585 0.255
```


Computed, not measured: Cs2KS2O6 after structural relaxation at the GGA-PBE level of DFT. Values from VASP.

- Calculated density: 3.1 Mg/m³
- E_form (uncorrected): -1721 kJ/mol of formula units
- Total magnetic moment: 1.01 μB per cell
- Space-group type: No. 166

```
&SYSTEM
  ibrav = 0, nat = 11, ntyp = 4
/
ATOMIC_SPECIES
Cs 132.91 Cs.upf
K 39.10 K.upf
S 32.06 S.upf
O 16.00 O.upf
CELL_PARAMETERS angstrom
3.233 1.866 6.964
-3.233 1.866 6.964
0.000 -3.733 6.964
ATOMIC_POSITIONS crystal
Cs 0.249 0.249 0.249
Cs 0.751 0.751 0.751
K 0.500 0.500 0.500
S 0.071 0.071 0.071
S 0.929 0.929 0.929
O 0.159 0.777 0.777
O 0.223 0.223 0.841
O 0.223 0.841 0.223
O 0.777 0.159 0.777
O 0.777 0.777 0.159
O 0.841 0.223 0.223
```


no.,Fermi-level density of states (states/eV/atom),energy (eV per atom)
1,0.734,-4.38
2,0.555,-6.98
3,1.074,-5.59
4,0.781,-5.31
5,1.511,-4.36
6,0.149,-2.60
7,1.398,-4.80
8,0.640,-4.86
9,0.845,-7.20
10,1.213,-7.08
11,0.200,-5.76
12,0.064,-5.33